(1)
{
  "formula": "SrTmP2",
  "functional": "PBE-GGA",
  "state": "optimized geometry",
  "lattice": [[4.179, 0.000, 0.000], [0.000, 4.179, 0.000], [0.000, 0.000, 7.180]],
  "species": ["Tm", "P", "P", "Sr"],
  "fractional_positions": [[0.000, 0.000, 0.000], [0.000, 0.000, 0.648], [0.000, 0.000, 0.352], [0.500, 0.500, 0.500]],
  "sg": "P4/mmm, No. 123",
  "m_tot_mub_per_fu": 0.1,
  "e_tot_ev_per_cell": -18.90
}



(2)
{
  "formula": "Sm3Hg3Pd2Au",
  "functional": "PBE-GGA",
  "state": "optimized geometry",
  "lattice": [[-3.009, 5.947, -4.211], [-3.709, -6.954, 0.211], [-2.022, 1.173, 3.102]],
  "species": ["Pd", "Sm", "Au", "Hg", "Sm", "Hg", "Sm", "Pd", "Hg"],
  "fractional_positions": [[0.667, 0.333, 0.500], [0.000, 0.600, 0.000], [0.000, 0.000, 0.000], [0.000, 0.275, 0.500], [0.400, 0.400, 0.000], [0.275, 0.000, 0.500], [0.600, 0.000, 0.000], [0.333, 0.667, 0.500], [0.725, 0.725, 0.500]],
  "sg": "P-62m, No. 189",
  "m_tot_mub_per_fu": 0.0,
  "e_tot_ev_per_cell": -34.81,
  "delta_e_f_ev_per_atom": -0.68
}